(1)
Material: Dy12Zn3C5
Method: DFT, PBE
State: optimized geometry

The structure in extended XYZ format:
```
80
Lattice="-7.8165 7.8165 7.8165 7.8165 -7.8165 7.8165 7.8165 7.8165 -7.8165" Properties=species:S:1:pos:R:3 pbc="T T T"
Dy 2.3290 -0.5229 0.8521
Dy 9.3958 4.7604 -4.4312
Dy 10.1455 0.5229 0.8521
Dy 9.3958 -3.0562 4.4312
Dy 7.2936 -0.8521 2.3290
Dy 12.2477 -1.5793 3.0562
Dy 0.8521 2.3290 -0.5229
Dy 10.8727 3.3853 -1.5793
Dy 4.7604 4.4312 -1.5793
Dy 6.9644 2.3290 0.5229
Dy -0.5229 0.8521 2.3290
Dy 4.4312 -1.5793 4.7604
Dy 7.2936 6.9644 -2.3290
Dy 4.4312 1.5793 3.0562
Dy 4.7604 -4.4312 9.3958
Dy 6.9644 -2.3290 7.2936
Dy 3.0562 4.4312 1.5793
Dy 8.6686 5.4875 0.5229
Dy 4.4312 9.3958 -3.0562
Dy 7.2936 0.8521 5.4875
Dy 2.3290 7.2936 -0.8521
Dy 9.3958 3.0562 3.3853
Dy 1.5793 3.0562 4.4312
Dy 2.3290 0.5229 6.9644
Dy 5.4875 7.2936 0.8521
Dy 6.2372 4.7604 3.3853
Dy -1.5793 4.7604 4.4312
Dy 5.4875 0.5229 8.6686
Dy 0.5229 6.9644 2.3290
Dy 3.3853 -1.5793 10.8727
Dy -0.8521 2.3290 7.2936
Dy 4.7604 3.3853 6.2372
Dy 0.8521 10.1455 0.5229
Dy 3.0562 12.2477 -1.5793
Dy 3.3853 6.2372 4.7604
Dy 0.5229 0.8521 10.1455
Dy 3.3853 9.3958 3.0562
Dy 8.3395 6.9644 5.4875
Dy 0.8521 5.4875 7.2936
Dy 3.0562 3.3853 9.3958
Dy -3.0562 4.4312 9.3958
Dy 6.9644 5.4875 8.3395
Dy -4.4312 9.3958 4.7604
Dy 0.5229 8.6686 5.4875
Dy -1.5793 10.8727 3.3853
Dy -2.3290 7.2936 6.9644
Dy -1.5793 3.0562 12.2477
Dy 5.4875 8.3395 6.9644
Zn 3.9083 1.9541 0.0000
Zn 7.8165 3.9083 -1.9541
Zn 1.9541 0.0000 3.9083
Zn 9.7707 0.0000 3.9083
Zn 0.0000 3.9083 1.9541
Zn 3.9083 -1.9541 7.8165
Zn 3.9083 9.7707 0.0000
Zn 7.8165 3.9083 5.8624
Zn -1.9541 7.8165 3.9083
Zn 5.8624 7.8165 3.9083
Zn 0.0000 3.9083 9.7707
Zn 3.9083 5.8624 7.8165
C 0.0000 0.0000 0.0000
C 3.9083 3.9083 -3.9083
C 3.9083 -3.9083 3.9083
C 7.8165 0.0000 0.0000
C 11.7248 1.9541 0.0000
C 7.8165 -3.9083 5.8624
C 5.8624 7.8165 -3.9083
C 5.8624 0.0000 3.9083
C 3.9083 5.8624 0.0000
C 7.8165 3.9083 1.9541
C -3.9083 3.9083 3.9083
C 0.0000 7.8165 0.0000
C 0.0000 0.0000 7.8165
C 3.9083 3.9083 3.9083
C 0.0000 3.9083 5.8624
C 3.9083 1.9541 7.8165
C 1.9541 7.8165 3.9083
C 1.9541 0.0000 11.7248
C 0.0000 11.7248 1.9541
C -3.9083 5.8624 7.8165
```

Calculated volume (A^3/atom): 23.9
Calculated formation energy (eV/atom): -0.093
Calculated density (Mg/m³): 7.67
Space-group type: Ia-3d
Energy (eV per formula unit): -107.032



(2)
Material: K8Rb3Hg3
Method: DFT, PBE
State: optimized geometry

The structure in extended XYZ format:
```
14
Lattice="11.5411 -3.2915 0.0000 11.5411 3.2915 0.0000 -5.1406 0.0000 10.9501" Properties=species:S:1:pos:R:3 pbc="T T T"
K -1.3605 0.0000 3.7453
K 3.0204 0.0000 0.6419
K 5.4267 0.0000 6.2537
K 7.4850 0.0000 2.2031
K 10.4567 0.0000 8.7470
K 12.5150 0.0000 4.6964
K 14.9213 0.0000 10.3082
K 19.3022 0.0000 7.2048
Rb 1.6089 0.0000 7.7832
Rb 11.5411 0.0000 0.0000
Rb 16.3327 0.0000 3.1669
Hg 2.5182 0.0000 4.1094
Hg 8.9708 0.0000 5.4751
Hg 15.4234 0.0000 6.8407
```

Calculated volume (A^3/atom): 59.4
Calculated formation energy (eV/atom): -0.083
Calculated density (Mg/m³): 2.34
Space-group type: C2/m
Energy (eV per formula unit): -13.746



(3)
Material: Tb6TlS4
Method: DFT, PBE
State: optimized geometry

The structure in extended XYZ format:
```
22
Lattice="1.9793 -6.5895 0.0000 1.9793 6.5895 0.0000 0.0000 0.0000 20.2222" Properties=species:S:1:pos:R:3 pbc="T T T"
Tb 0.0000 0.0000 0.0000
Tb 0.0000 0.0000 10.1111
Tb 1.9793 4.5545 15.1666
Tb 1.9793 3.0072 1.6743
Tb 1.9793 3.0072 8.4368
Tb 1.9793 0.5024 13.2902
Tb 1.9793 0.5024 17.0431
Tb 1.9793 -0.5024 3.1791
Tb 1.9793 -0.5024 6.9320
Tb 1.9793 -3.0072 11.7854
Tb 1.9793 -3.0072 18.5478
Tb 1.9793 -4.5545 5.0555
Tl 1.9793 4.4506 5.0555
Tl 1.9793 -4.4506 15.1666
S 1.9793 5.3420 12.5662
S 1.9793 5.3420 17.7670
S 1.9793 1.8102 10.9116
S 1.9793 1.8102 19.4217
S 1.9793 -1.8102 0.8005
S 1.9793 -1.8102 9.3106
S 1.9793 -5.3420 2.4551
S 1.9793 -5.3420 7.6560
```

Calculated volume (A^3/atom): 24.0
Raw formation energy (kJ/mol of formula units): -1658
Calculated density (Mg/m³): 8.10
Space-group type: Cmcm
Energy (eV per formula unit): -63.838



(4)
Material: Li2NdGeSe4
Method: DFT, PBE
State: optimized geometry

The structure in extended XYZ format:
```
8
Lattice="6.8420 0.0000 0.0000 0.0000 4.0189 0.0000 -2.3485 0.0000 6.6295" Properties=species:S:1:pos:R:3 pbc="T T T"
Li 0.0000 0.0000 0.0000
Li -1.1742 2.0095 3.3148
Nd 2.2467 0.0000 3.3148
Ge 3.4210 2.0095 0.0000
Se 1.1216 2.0095 1.5138
Se -0.1014 0.0000 5.0970
Se 4.5949 0.0000 1.5325
Se 3.3719 2.0095 5.1157
```

Calculated volume (A^3/atom): 22.8
Raw formation energy (kJ/mol of formula units): -825
Calculated density (Mg/m³): 4.98
Space-group type: P2/m
Energy (eV per formula unit): -35.699



(5)
Material: TaCuF6
Method: DFT, PBE
State: optimized geometry

The structure in extended XYZ format:
```
8
Lattice="2.7346 -4.3764 0.0000 2.7346 4.3764 0.0000 -0.1911 0.0000 5.2127" Properties=species:S:1:pos:R:3 pbc="T T T"
Ta 0.0000 0.0000 0.0000
Cu 2.6391 0.0000 2.6064
F 0.8138 1.3271 1.1187
F 1.3948 0.0000 4.0606
F 0.8138 -1.3271 1.1187
F 4.4644 1.3271 4.0940
F 3.8834 0.0000 1.1521
F 4.4644 -1.3271 4.0940
```

Calculated volume (A^3/atom): 15.6
Raw formation energy (kJ/mol of formula units): -2057
Calculated density (Mg/m³): 4.77
Space-group type: C2/m
Energy (eV per formula unit): -48.495



(6)
Material: KTcNi
Method: DFT, PBE
State: optimized geometry

The structure in extended XYZ format:
```
6
Lattice="5.6975 0.0000 0.0000 0.0000 3.0834 0.0000 -1.1293 0.0000 8.2817" Properties=species:S:1:pos:R:3 pbc="T T T"
K 0.0000 0.0000 0.0000
K 1.7262 0.0000 5.4565
Tc 2.9794 1.5417 2.3242
Tc 4.5113 0.0000 3.2622
Ni 0.6534 1.5417 2.7647
Ni 4.5543 1.5417 5.1059
```

Calculated volume (A^3/atom): 24.2
Calculated formation energy (eV/atom): 0.707
Calculated density (Mg/m³): 4.47
Space-group type: Pm
Energy relative to the lowest polymorph listed for this composition (eV per formula unit): 0.844
Energy (eV per formula unit): -15.125



(7)
Material: TmHg5Pd6
Method: DFT, PBE
State: optimized geometry

The structure in extended XYZ format:
```
12
Lattice="4.4281 -6.5541 0.0000 4.4281 6.5541 0.0000 -2.1223 0.0000 3.7875" Properties=species:S:1:pos:R:3 pbc="T T T"
Tm 0.0000 0.0000 0.0000
Hg 3.3670 4.3753 1.8938
Hg 4.4281 2.1760 0.0000
Hg 3.3670 0.0000 1.8938
Hg 4.4281 -2.1760 0.0000
Hg 3.3670 -4.3753 1.8938
Pd 1.6643 2.1854 0.9347
Pd 0.6069 0.0000 2.8366
Pd 1.6643 -2.1854 0.9347
Pd 5.0696 2.1854 2.8528
Pd 6.1270 0.0000 0.9509
Pd 5.0696 -2.1854 2.8528
```

Calculated volume (A^3/atom): 18.3
Calculated formation energy (eV/atom): -0.354
Calculated density (Mg/m³): 13.67
Space-group type: C2/m
Energy (eV per formula unit): -41.385



(8)
Material: ErThScMn
Method: DFT, PBE
State: optimized geometry

The structure in extended XYZ format:
```
4
Lattice="0.0000 3.6788 3.6788 3.6788 0.0000 3.6788 3.6788 3.6788 0.0000" Properties=species:S:1:pos:R:3 pbc="T T T"
Er 0.0000 0.0000 0.0000
Th 3.6788 3.6788 3.6788
Sc 5.5182 5.5182 5.5182
Mn 1.8394 1.8394 1.8394
```

Calculated volume (A^3/atom): 24.9
Calculated formation energy (eV/atom): 0.218
Calculated density (Mg/m³): 8.32
Space-group type: F-43m
Energy (eV per formula unit): -26.612



(9)
Material: PmEuGdTm
Method: DFT, PBE
State: optimized geometry

The structure in extended XYZ format:
```
4
Lattice="0.0000 4.0750 4.0750 4.0750 0.0000 4.0750 4.0750 4.0750 0.0000" Properties=species:S:1:pos:R:3 pbc="T T T"
Pm 0.0000 0.0000 0.0000
Eu 2.0375 2.0375 2.0375
Gd 6.1125 6.1125 6.1125
Tm 4.0750 4.0750 4.0750
```

Calculated volume (A^3/atom): 33.8
Calculated formation energy (eV/atom): 0.138
Calculated density (Mg/m³): 7.65
Space-group type: F-43m
Energy (eV per formula unit): -33.027



(10)
Material: Ca2CdO3
Method: DFT, PBE
State: optimized geometry

The structure in extended XYZ format:
```
6
Lattice="-1.7095 2.4101 5.0797 1.7095 -2.4101 5.0797 1.7095 2.4101 -5.0797" Properties=species:S:1:pos:R:3 pbc="T T T"
Ca 0.0000 0.0000 1.6759
Ca 0.0000 0.0000 8.4834
Cd 0.0000 0.0000 5.0797
O 1.7095 0.0000 0.0000
O 1.7095 0.0000 3.3581
O 0.0000 2.4101 1.7215
```

Calculated volume (A^3/atom): 14.0
Raw formation energy (kJ/mol of formula units): -1350
Calculated density (Mg/m³): 4.77
Space-group type: Immm
Energy relative to the lowest polymorph listed for this composition (eV per formula unit): 0.000
Energy (eV per formula unit): -33.781



(11)
Material: ZnReBr2
Method: DFT, PBE
State: optimized geometry

The structure in extended XYZ format:
```
4
Lattice="3.1767 0.0000 0.0000 0.0000 3.1767 0.0000 0.0000 0.0000 8.9635" Properties=species:S:1:pos:R:3 pbc="T T T"
Zn 0.0000 0.0000 0.0000
Re 0.0000 0.0000 4.4817
Br 1.5884 1.5884 2.9106
Br 1.5884 1.5884 6.0529
```

Calculated volume (A^3/atom): 22.6
Raw formation energy (kJ/mol of formula units): 357
Calculated density (Mg/m³): 7.55
Space-group type: P4/mmm
Energy relative to the lowest polymorph listed for this composition (eV per formula unit): 2.950
Energy (eV per formula unit): -13.366



(12)
Material: V2Co6H
Method: DFT, PBE
State: optimized geometry

The structure in extended XYZ format:
```
9
Lattice="0.0000 3.5398 3.5398 3.5398 0.0000 3.5398 3.5398 3.5398 0.0000" Properties=species:S:1:pos:R:3 pbc="T T T"
V 1.7699 1.7699 1.7699
V 5.3097 5.3097 5.3097
Co 3.5398 3.5398 1.7458
Co 3.5398 1.7458 3.5398
Co 5.3338 3.5398 3.5398
Co 1.7458 3.5398 3.5398
Co 3.5398 5.3338 3.5398
Co 3.5398 3.5398 5.3338
H 3.5398 3.5398 3.5398
```

Calculated volume (A^3/atom): 9.9
Calculated density (Mg/m³): 8.54
Space-group type: Fm-3m
Energy (eV per formula unit): -65.695